DFT (PBE-GGA) results for an optimized crystal structure of Pm8Si2Ir.

Output
Raw total energy, eV/atom: -5.634
ΔE_f (raw), eV per atom: -0.388
DOS(E_F), states/eV per atom: 0.866

Cell: 4.8270 6.8533 9.8847 Å, 102.92 104.13 90.00°
Sites, in units of the cell vectors:
Pm 0.5941 0.4682 0.1882
Pm 0.4059 0.5318 0.8118
Pm 0.2170 0.3284 0.4339
Pm 0.7830 0.6716 0.5661
Pm 0.0241 0.7861 0.0481
Pm 0.3446 0.0062 0.6893
Pm 0.9759 0.2139 0.9519
Pm 0.6554 0.9938 0.3107
Si 0.1825 0.7477 0.3651
Si 0.8175 0.2523 0.6349
Ir 0.5000 0.0000 0.0000

DFT (PBE-GGA) results for an optimized crystal structure of ZnAg6Hg2.

Output
Raw total energy, eV/atom: -1.989
Energy relative to the elements, meV per atom: 121
DOS(E_F), states/eV per atom: 0.318

Cell: 9.6975 9.6975 13.5218 Å, 32.51 32.51 44.84°
Sites, in units of the cell vectors:
Hg 0.6338 0.6754 0.3875
Zn 0.9222 0.0778 0.7500
Ag 0.1317 0.8822 0.9070
Ag 0.8683 0.1178 0.0930
Hg 0.3662 0.3246 0.6125
Ag 0.1178 0.8683 0.5930
Ag 0.5928 0.7484 0.5996
Ag 0.4072 0.2516 0.4004
Ag 0.8822 0.1317 0.4070
Hg 0.3246 0.3662 0.1125
Hg 0.6754 0.6338 0.8875
Ag 0.9370 0.4137 0.6901
Ag 0.2516 0.4072 0.9004
Zn 0.0778 0.9222 0.2500
Ag 0.7484 0.5928 0.0996
Ag 0.0630 0.5863 0.3099
Ag 0.4137 0.9370 0.1901
Ag 0.5863 0.0630 0.8099

DFT (PBE-GGA) results for an optimized crystal structure of Ni3SbPt3.

Output
Raw total energy, eV/atom: -5.706
ΔE_f (raw), eV per atom: -0.051
DOS(E_F), states/eV per atom: 1.462

Cell: 7.4854 7.4854 7.4854 Å, 90.00 90.00 90.00°
Last column: magnetic moment on the atom in μB.
Sites, in units of the cell vectors:
Sb 0.5426 0.9574 0.0426  0.00
Pt 0.3109 0.1141 0.4776  0.06
Sb 0.0426 0.5426 0.9574  0.00
Pt 0.8109 0.3859 0.5224  0.06
Pt 0.1141 0.4776 0.3109  0.06
Ni 0.6361 0.1361 0.3639  0.14
Pt 0.0224 0.6891 0.6141  0.06
Ni 0.1725 0.8275 0.3275  0.36
Ni 0.6707 0.3293 0.8293  0.29
Sb 0.9574 0.0426 0.5426  0.00
Pt 0.6891 0.6141 0.0224  0.06
Pt 0.1891 0.8859 0.9776  0.06
Pt 0.6141 0.0224 0.6891  0.06
Ni 0.8639 0.8639 0.8639  0.14
Pt 0.8859 0.9776 0.1891  0.06
Ni 0.3275 0.1725 0.8275  0.36
Pt 0.3859 0.5224 0.8109  0.06
Ni 0.3293 0.8293 0.6707  0.29
Pt 0.9776 0.1891 0.8859  0.06
Ni 0.6725 0.6725 0.6725  0.36
Ni 0.1361 0.3639 0.6361  0.14
Ni 0.8293 0.6707 0.3293  0.29
Ni 0.8275 0.3275 0.1725  0.36
Ni 0.1707 0.1707 0.1707  0.29
Pt 0.5224 0.8109 0.3859  0.06
Sb 0.4574 0.4574 0.4574  0.00
Pt 0.4776 0.3109 0.1141  0.06
Ni 0.3639 0.6361 0.1361  0.14

DFT (PBE-GGA) results for an optimized crystal structure of TaAlTe2.

Output
Raw total energy, eV/atom: -5.434
ΔE_f (raw), eV per atom: 0.036
DOS(E_F), states/eV per atom: 0.380

Cell: 4.6802 3.7365 5.3923 Å, 69.78 90.00 90.00°
Sites, in units of the cell vectors:
Te 0.0000 0.9784 0.9173
Al 0.0000 0.7001 0.4752
Ta 0.5000 0.5533 0.7690
Te 0.5000 0.2682 0.3385

DFT (PBE-GGA) results for an optimized crystal structure of KGeSbO5.

Output
Raw total energy, eV/atom: -6.008
ΔE_f (raw), eV per atom: -1.680
DOS(E_F), states/eV per atom: 0.000

Cell: 6.7040 10.9386 13.4624 Å, 90.00 90.00 90.00°
Sites, in units of the cell vectors:
Ge 0.0111 0.0028 0.3186
Sb 0.2433 0.7555 0.7452
Ge 0.3188 0.7515 0.4978
O 0.5493 0.3843 0.2704
O 0.1589 0.7718 0.6010
O 0.9612 0.1148 0.9970
O 0.8044 0.9630 0.3933
O 0.4999 0.8676 0.4858
Sb 0.4926 0.5008 0.6174
Sb 0.2567 0.7555 0.2452
O 0.8411 0.2718 0.3990
Sb 0.0074 0.5008 0.1174
K 0.7968 0.9349 0.6102
O 0.6589 0.2718 0.8990
K 0.2259 0.1906 0.6179
Ge 0.4889 0.0028 0.8186
O 0.1956 0.4630 0.6067
Sb 0.9926 0.0008 0.8826
Sb 0.7567 0.2555 0.2548
O 0.0381 0.6254 0.7647
O 0.9619 0.1254 0.2353
K 0.2741 0.1906 0.1179
O 0.4565 0.6296 0.7205
O 0.0493 0.8843 0.2296
K 0.2032 0.4349 0.3898
O 0.7869 0.5334 0.6012
O 0.0268 0.8770 0.7747
K 0.7741 0.6906 0.3821
O 0.3044 0.4630 0.1067
K 0.7259 0.6906 0.8821
O 0.9732 0.3770 0.2253
O 0.6686 0.2387 0.1101
O 0.2869 0.0334 0.8988
Ge 0.1812 0.7515 0.9978
K 0.7032 0.9349 0.1102
Sb 0.5074 0.0008 0.3826
O 0.4732 0.8770 0.2747
Ge 0.5111 0.5028 0.1814
O 0.9565 0.1296 0.7795
Ge 0.9889 0.5028 0.6814
O 0.0001 0.8676 0.9858
O 0.5381 0.1254 0.7353
O 0.9507 0.3843 0.7704
O 0.5435 0.1296 0.2795
O 0.3411 0.7718 0.1010
O 0.0435 0.6296 0.2205
O 0.9999 0.3676 0.0142
O 0.4612 0.6148 0.5030
O 0.7131 0.5334 0.1012
K 0.2968 0.4349 0.8898
O 0.2131 0.0334 0.3988
O 0.4507 0.8843 0.7296
O 0.5268 0.3770 0.7253
O 0.6956 0.9630 0.8933
Ge 0.8188 0.2515 0.0022
O 0.5388 0.1148 0.4970
O 0.5001 0.3676 0.5142
O 0.8314 0.2387 0.6101
O 0.0388 0.6148 0.0030
O 0.1686 0.7387 0.3899
Sb 0.7433 0.2555 0.7548
O 0.4619 0.6254 0.2647
Ge 0.6812 0.2515 0.5022
O 0.3314 0.7387 0.8899

DFT (PBE-GGA) results for an optimized crystal structure of CeGaSnHg.

Output
Raw total energy, eV/atom: -3.620
Energy relative to the elements, meV per atom: -304
DOS(E_F), states/eV per atom: 1.538

Cell: 5.1814 5.1814 5.1814 Å, 60.00 60.00 60.00°
Last column: magnetic moment on the atom in μB.
Sites, in units of the cell vectors:
Ce 0.7500 0.7500 0.7500  0.81
Hg 0.0000 0.0000 0.0000  0.00
Ga 0.5000 0.5000 0.5000  0.02
Sn 0.2500 0.2500 0.2500  -0.01

Copy entry 6 word for word.
DFT (PBE-GGA) results for an optimized crystal structure of CeGaSnHg.

Output
Raw total energy, eV/atom: -3.620
Energy relative to the elements, meV per atom: -304
DOS(E_F), states/eV per atom: 1.538

Cell: 5.1814 5.1814 5.1814 Å, 60.00 60.00 60.00°
Last column: magnetic moment on the atom in μB.
Sites, in units of the cell vectors:
Ce 0.7500 0.7500 0.7500  0.81
Hg 0.0000 0.0000 0.0000  0.00
Ga 0.5000 0.5000 0.5000  0.02
Sn 0.2500 0.2500 0.2500  -0.01